The following is a DFT calculation (PBE-GGA) of La3ZnMo after structural relaxation.

As for the formation energy: 1.38 eV per formula unit. The calculation puts the energy above the lowest structure with this stoichiometry at 0 meV/atom.

The space group is Pm-3m (No. 221) and the conventional cell measures 5.4966, 5.4966 and 5.4966 Å, with angles of 90.00, 90.00 and 90.00 degrees. The asymmetric unit holds La at (0.0000, 0.0000, 0.5000), Zn at (0.5000, 0.5000, 0.5000) and Mo at (0.0000, 0.0000, 0.0000).